First-principles (meta-GGA SCAN) data for HRuSCl2 at its PBEsol-relaxed geometry, as listed in the Alexandria database.

Structure (POSCAR):
```
HRuSCl2
1.0
4.6339 0.0000 0.0000
0.0000 4.6339 0.0000
0.0000 0.0000 3.4230
H Ru S Cl
1 1 1 2
Direct
0.0000 0.0000 0.0000 H
0.0000 0.0000 0.5000 Ru
0.5000 0.5000 0.0000 S
0.0000 0.5000 0.5000 Cl
0.5000 0.0000 0.5000 Cl
```

final energy = -0.448 Ha/atom
volume = 14.70 Å³ per atom

First-principles (meta-GGA SCAN) data for HRuS2Cl at its PBEsol-relaxed geometry, as listed in the Alexandria database.

Structure (POSCAR):
```
HRuS2Cl
1.0
3.5809 0.0000 0.0000
0.0000 3.5809 0.0000
0.0000 0.0000 5.5865
H Ru S Cl
1 1 2 1
Direct
0.0000 0.0000 0.0000 H
0.5000 0.5000 0.5000 Ru
0.0000 0.5000 0.0000 S
0.5000 0.0000 0.0000 S
0.0000 0.0000 0.5000 Cl
```

final energy = -0.448 Ha/atom
volume = 14.33 Å³ per atom

First-principles (meta-GGA SCAN) data for H2RuWCl at its PBEsol-relaxed geometry, as listed in the Alexandria database.

Structure (POSCAR):
```
H2RuWCl
1.0
3.4337 0.0000 0.0000
0.0000 3.4337 0.0000
0.0000 0.0000 5.3733
H Ru W Cl
2 1 1 1
Direct
0.0000 0.5000 0.0000 H
0.5000 0.0000 0.0000 H
0.0000 0.0000 0.5000 Ru
0.5000 0.5000 0.5000 W
0.5000 0.5000 0.0000 Cl
```

final energy = -0.829 Ha/atom
volume = 12.67 Å³ per atom

First-principles (meta-GGA SCAN) data for HSCl2 at its PBEsol-relaxed geometry, as listed in the Alexandria database.

Structure (POSCAR):
```
HSCl2
1.0
-2.8422 2.8422 4.0837
2.8422 -2.8422 4.0837
2.8422 2.8422 -4.0837
H S Cl
2 2 4
Direct
0.0000 0.0000 0.0000 H
0.7500 0.2500 0.5000 H
0.2500 0.7500 0.5000 S
0.5000 0.5000 0.0000 S
0.0234 0.1250 0.3984 Cl
0.3750 0.9766 0.1016 Cl
0.7266 0.6250 0.6016 Cl
0.8750 0.2734 0.8984 Cl
```

final energy = -0.238 Ha/atom
volume = 16.49 Å³ per atom

First-principles (meta-GGA SCAN) data for SnHSCl2 at its PBEsol-relaxed geometry, as listed in the Alexandria database.

Structure (POSCAR):
```
SnHSCl2
1.0
5.1240 0.0000 0.0000
0.0000 5.1240 0.0000
0.0000 0.0000 3.3200
Sn H S Cl
1 1 1 2
Direct
0.0000 0.0000 0.0000 Sn
0.5000 0.5000 0.5000 H
0.5000 0.5000 0.0000 S
0.0000 0.5000 0.5000 Cl
0.5000 0.0000 0.5000 Cl
```

final energy = -0.474 Ha/atom
volume = 17.43 Å³ per atom
offset from the most stable computed form = 0 meV per atom

First-principles (meta-GGA SCAN) data for SnHS2Cl at its PBEsol-relaxed geometry, as listed in the Alexandria database.

Structure (POSCAR):
```
SnHS2Cl
1.0
3.9119 0.0000 0.0000
0.0000 3.9119 0.0000
0.0000 0.0000 5.4174
Sn H S Cl
1 1 2 1
Direct
0.0000 0.0000 0.0000 Sn
0.5000 0.5000 0.5000 H
0.0000 0.5000 0.5000 S
0.5000 0.0000 0.5000 S
0.5000 0.5000 0.0000 Cl
```

final energy = -0.480 Ha/atom
volume = 16.58 Å³ per atom

First-principles (meta-GGA SCAN) data for SnHSCl2 at its PBEsol-relaxed geometry, as listed in the Alexandria database.

Structure (POSCAR):
```
SnHSCl2
1.0
5.1193 0.0000 0.0000
0.0000 5.1193 0.0000
0.0000 0.0000 4.8806
Sn H S Cl
1 1 1 2
Direct
0.0000 0.0000 0.0000 Sn
0.5000 0.5000 0.5000 H
0.0000 0.0000 0.5000 S
0.0000 0.5000 0.0000 Cl
0.5000 0.0000 0.0000 Cl
```

final energy = -0.471 Ha/atom
volume = 25.58 Å³ per atom
offset from the most stable computed form = 95 meV per atom

First-principles (meta-GGA SCAN) data for TeHSCl2 at its PBEsol-relaxed geometry, as listed in the Alexandria database.

Structure (POSCAR):
```
TeHSCl2
1.0
5.2569 0.0000 0.0000
0.0000 5.2569 0.0000
0.0000 0.0000 4.8986
Te H S Cl
1 1 1 2
Direct
0.0000 0.0000 0.0000 Te
0.5000 0.5000 0.5000 H
0.0000 0.0000 0.5000 S
0.0000 0.5000 0.0000 Cl
0.5000 0.0000 0.0000 Cl
```

final energy = -0.474 Ha/atom
volume = 27.07 Å³ per atom

First-principles (meta-GGA SCAN) data for HWS2Cl at its PBEsol-relaxed geometry, as listed in the Alexandria database.

Structure (POSCAR):
```
HWS2Cl
1.0
3.7549 0.0000 0.0000
0.0000 3.7549 0.0000
0.0000 0.0000 4.4337
H W S Cl
1 1 2 1
Direct
0.0000 0.0000 0.0000 H
0.5000 0.5000 0.5000 W
0.0000 0.5000 0.0000 S
0.5000 0.0000 0.0000 S
0.0000 0.0000 0.5000 Cl
```

final energy = -0.691 Ha/atom
volume = 12.50 Å³ per atom

First-principles (meta-GGA SCAN) data for ZrHSCl2 at its PBEsol-relaxed geometry, as listed in the Alexandria database.

Structure (POSCAR):
```
ZrHSCl2
1.0
4.6747 0.0000 0.0000
0.0000 4.6747 0.0000
0.0000 0.0000 3.3676
Zr H S Cl
1 1 1 2
Direct
0.0000 0.0000 0.0000 Zr
0.5000 0.5000 0.5000 H
0.5000 0.5000 0.0000 S
0.0000 0.5000 0.5000 Cl
0.5000 0.0000 0.5000 Cl
```

final energy = -0.447 Ha/atom
volume = 14.72 Å³ per atom

First-principles (meta-GGA SCAN) data for ScH3Cl at its PBEsol-relaxed geometry, as listed in the Alexandria database.

Structure (POSCAR):
```
ScH3Cl
1.0
3.7217 0.0000 0.0000
0.0000 3.7217 0.0000
0.0000 0.0000 3.7217
Sc H Cl
1 3 1
Direct
0.0000 0.0000 0.0000 Sc
0.0000 0.5000 0.5000 H
0.5000 0.0000 0.5000 H
0.5000 0.5000 0.0000 H
0.5000 0.5000 0.5000 Cl
```

final energy = -0.205 Ha/atom
volume = 10.31 Å³ per atom

First-principles (meta-GGA SCAN) data for ScHCl2 at its PBEsol-relaxed geometry, as listed in the Alexandria database.

Structure (POSCAR):
```
ScHCl2
1.0
1.7353 1.0019 8.2497
-1.7353 1.0019 8.2497
0.0000 -2.0037 8.2497
Sc H Cl
1 1 2
Direct
0.0000 0.0000 0.0000 Sc
0.5000 0.5000 0.5000 H
0.3961 0.3961 0.3961 Cl
0.6039 0.6039 0.6039 Cl
```

final energy = -0.345 Ha/atom
volume = 21.51 Å³ per atom

Which of these has the lowest final energy? H2RuWCl